Model a:
Compound: NdAlPd4
Source: Alexandria via LeMat-Bulk
Functional: PBE-GGA
Structure: relaxed

## Properties
* density of states at the Fermi level: 3.25 states/eV/cell
* space group: F-43m

a = 5.3769 Å, b = 5.3769 Å, c = 5.3769 Å
α = 60.00°, β = 60.00°, γ = 60.00°
Last column: nearest neighbours and their distance in Å.
Atoms (fractional coordinates):
Nd1 0.0000 0.0000 0.0000  12 Pd 3.15, 4 Al 3.29
Al1 0.7500 0.7500 0.7500  12 Pd 3.15, 4 Nd 3.29
Pd1 0.3758 0.3758 0.3758  6 Pd 2.67-2.71
Pd2 0.3758 0.3758 0.8725  6 Pd 2.67-2.71
Pd3 0.3758 0.8725 0.3758  6 Pd 2.67-2.71
Pd4 0.8725 0.3758 0.3758  6 Pd 2.67-2.71


Model b:
Compound: NdAlPd4
Source: Alexandria via LeMat-Bulk
Functional: PBE-GGA
Structure: relaxed

## Properties
* density of states at the Fermi level: 4.51 states/eV/cell
* space group: P4/mbm

a = 6.0305 Å, b = 6.0305 Å, c = 7.1731 Å
α = 90.00°, β = 90.00°, γ = 90.00°
Last column: nearest neighbours and their distance in Å.
Atoms (fractional coordinates):
Nd1 0.0000 0.5000 0.0000  8 Pd 3.27
Nd2 0.5000 0.0000 0.0000  8 Pd 3.27
Al1 0.0000 0.0000 0.5000  6 Pd 2.30-2.32
Al2 0.5000 0.5000 0.5000  6 Pd 2.30-2.32
Pd1 0.0000 0.0000 0.1770  1 Al 2.32, 1 Pd 2.54
Pd2 0.0000 0.0000 0.8230  1 Al 2.32, 1 Pd 2.54
Pd3 0.1492 0.3508 0.5000  2 Al 2.30, 1 Pd 2.54
Pd4 0.3508 0.8508 0.5000  2 Al 2.30, 1 Pd 2.54
Pd5 0.5000 0.5000 0.1770  1 Al 2.32, 1 Pd 2.54
Pd6 0.5000 0.5000 0.8230  1 Al 2.32, 1 Pd 2.54
Pd7 0.6492 0.1492 0.5000  2 Al 2.30, 1 Pd 2.54
Pd8 0.8508 0.6492 0.5000  2 Al 2.30, 1 Pd 2.54


Taking the most stable structure as the zero point, the relative energies in kJ/mol of atoms are model a 0.0; model b 31.7.


Model a:
Compound: NdAlPd3
Source: Alexandria via LeMat-Bulk
Functional: PBE-GGA
Structure: relaxed

## Properties
* density of states at the Fermi level: 5.10 states/eV/cell
* space group: I-4m2

a = 9.0680 Å, b = 9.0680 Å, c = 9.0680 Å
α = 146.29°, β = 146.29°, γ = 48.42°
Last column: nearest neighbours and their distance in Å.
Atoms (fractional coordinates):
Nd1 0.1225 0.1225 0.0000  6 Pd 2.96-3.08
Nd2 0.8775 0.8775 0.0000  6 Pd 2.96-3.08
Al1 0.2500 0.7500 0.5000  4 Pd 2.41
Al2 0.5000 0.5000 0.0000  8 Pd 2.49-2.66
Pd1 0.3711 0.1269 0.7557  2 Al 2.41-2.49, 2 Pd 2.57-2.69
Pd2 0.3711 0.6154 0.2443  2 Al 2.41-2.49, 2 Pd 2.57-2.69
Pd3 0.3846 0.6289 0.7557  2 Al 2.41-2.49, 2 Pd 2.57-2.69
Pd4 0.5254 0.0254 0.5000  2 Al 2.66, 2 Pd 2.88
Pd5 0.8731 0.6289 0.2443  2 Al 2.41-2.49, 2 Pd 2.57-2.69
Pd6 0.9746 0.4746 0.5000  2 Al 2.66, 2 Pd 2.88


Model b:
Compound: NdAlPd3
Source: Alexandria via LeMat-Bulk
Functional: PBE-GGA
Structure: relaxed

## Properties
* density of states at the Fermi level: 5.56 states/eV/cell
* space group: P4/nmm

a = 5.9516 Å, b = 5.9516 Å, c = 5.4632 Å
α = 90.00°, β = 90.00°, γ = 90.00°
Last column: nearest neighbours and their distance in Å.
Atoms (fractional coordinates):
Nd1 0.2500 0.7500 0.0000  12 Pd 3.12-3.45, 4 Al 3.30
Nd2 0.7500 0.2500 0.0000  12 Pd 3.12-3.45, 4 Al 3.30
Al1 0.2500 0.2500 0.2627  5 Pd 2.37-2.47
Al2 0.7500 0.7500 0.7373  5 Pd 2.37-2.47
Pd1 0.0000 0.0000 0.5000  2 Al 2.47, 2 Pd 2.76
Pd2 0.0000 0.5000 0.5000  2 Al 2.47, 2 Pd 2.76
Pd3 0.2500 0.2500 0.8282  1 Al 2.37
Pd4 0.5000 0.0000 0.5000  2 Al 2.47, 2 Pd 2.76
Pd5 0.5000 0.5000 0.5000  2 Al 2.47, 2 Pd 2.76
Pd6 0.7500 0.7500 0.1718  1 Al 2.37


Taking the most stable structure as the zero point, the relative energies in kJ/mol of atoms are model a 26.1; model b 0.0.


Model a:
Compound: NdAl4Pd2
Source: Alexandria via LeMat-Bulk
Functional: PBE-GGA
Structure: relaxed

## Properties
* density of states at the Fermi level: 11.62 states/eV/cell
* space group: Pnma

a = 17.4842 Å, b = 4.3634 Å, c = 6.6451 Å
α = 90.00°, β = 90.00°, γ = 90.00°
Last column: nearest neighbours and their distance in Å.
Atoms (fractional coordinates):
Nd1 0.1378 0.2500 0.0096  10 Al 3.06-3.42, 4 Pd 3.22-3.36
Nd2 0.3622 0.7500 0.5096  10 Al 3.06-3.42, 4 Pd 3.22-3.36
Nd3 0.6378 0.2500 0.4904  10 Al 3.06-3.42, 4 Pd 3.22-3.36
Nd4 0.8622 0.7500 0.9904  10 Al 3.06-3.42, 4 Pd 3.22-3.36
Al1 0.0358 0.7500 0.8237  3 Pd 2.57-2.82, 2 Al 2.84
Al2 0.0723 0.2500 0.4946  4 Pd 2.52-2.80
Al3 0.1864 0.7500 0.3206  4 Pd 2.61-2.65, 1 Al 2.67
Al4 0.1938 0.7500 0.7221  3 Pd 2.55-2.58, 2 Al 2.67-2.84
Al5 0.3062 0.2500 0.2221  3 Pd 2.55-2.58, 2 Al 2.67-2.84
Al6 0.3136 0.2500 0.8206  4 Pd 2.61-2.65, 1 Al 2.67
Al7 0.4277 0.7500 0.9946  4 Pd 2.52-2.80
Al8 0.4642 0.2500 0.3237  3 Pd 2.57-2.82, 2 Al 2.84
Al9 0.5358 0.7500 0.6763  3 Pd 2.57-2.82, 2 Al 2.84
Al10 0.5723 0.2500 0.0054  4 Pd 2.52-2.80
Al11 0.6864 0.7500 0.1794  4 Pd 2.61-2.65, 1 Al 2.67
Al12 0.6938 0.7500 0.7779  3 Pd 2.55-2.58, 2 Al 2.67-2.84
Al13 0.8062 0.2500 0.2779  3 Pd 2.55-2.58, 2 Al 2.67-2.84
Al14 0.8136 0.2500 0.6794  4 Pd 2.61-2.65, 1 Al 2.67
Al15 0.9277 0.7500 0.5054  4 Pd 2.52-2.80
Al16 0.9642 0.2500 0.1763  3 Pd 2.57-2.82, 2 Al 2.84
Pd1 0.0372 0.7500 0.2482  7 Al 2.57-2.82
Pd2 0.2162 0.2500 0.5235  7 Al 2.52-2.62
Pd3 0.2838 0.7500 0.0235  7 Al 2.52-2.62
Pd4 0.4628 0.2500 0.7482  7 Al 2.57-2.82
Pd5 0.5372 0.7500 0.2518  7 Al 2.57-2.82
Pd6 0.7162 0.2500 0.9765  7 Al 2.52-2.62
Pd7 0.7838 0.7500 0.4765  7 Al 2.52-2.62
Pd8 0.9628 0.2500 0.7518  7 Al 2.57-2.82


Model b:
Compound: NdAl4Pd2
Source: Alexandria via LeMat-Bulk
Functional: PBE-GGA
Structure: relaxed

## Properties
* density of states at the Fermi level: 5.07 states/eV/cell
* space group: P4_2/mnm

a = 7.8680 Å, b = 7.8680 Å, c = 4.1278 Å
α = 90.00°, β = 90.00°, γ = 90.00°
Last column: nearest neighbours and their distance in Å.
Atoms (fractional coordinates):
Nd1 0.0000 0.0000 0.0000  6 Pd 3.12-3.20, 8 Al 3.43
Nd2 0.5000 0.5000 0.5000  6 Pd 3.12-3.20, 8 Al 3.43
Al1 0.0832 0.3381 0.5000  3 Pd 2.56-2.62, 2 Al 2.84-2.86
Al2 0.1619 0.5832 0.0000  3 Pd 2.56-2.62, 2 Al 2.84-2.86
Al3 0.3381 0.0832 0.5000  3 Pd 2.56-2.62, 2 Al 2.84-2.86
Al4 0.4168 0.8381 0.0000  3 Pd 2.56-2.62, 2 Al 2.84-2.86
Al5 0.5832 0.1619 0.0000  3 Pd 2.56-2.62, 2 Al 2.84-2.86
Al6 0.6619 0.9168 0.5000  3 Pd 2.56-2.62, 2 Al 2.84-2.86
Al7 0.8381 0.4168 0.0000  3 Pd 2.56-2.62, 2 Al 2.84-2.86
Al8 0.9168 0.6619 0.5000  3 Pd 2.56-2.62, 2 Al 2.84-2.86
Pd1 0.2198 0.7802 0.5000  6 Al 2.56-2.62
Pd2 0.2802 0.2802 0.0000  6 Al 2.56-2.62
Pd3 0.7198 0.7198 0.0000  6 Al 2.56-2.62
Pd4 0.7802 0.2198 0.5000  6 Al 2.56-2.62


Taking the most stable structure as the zero point, the relative energies in kJ/mol of atoms are model a 0.0; model b 5.8.


Model a:
Compound: NdAlZnPd
Source: Alexandria via LeMat-Bulk
Functional: PBE-GGA
Structure: relaxed

## Properties
* density of states at the Fermi level: 2.45 states/eV/cell
* space group: R3m

a = 5.4326 Å, b = 5.4326 Å, c = 5.4326 Å
α = 48.70°, β = 48.70°, γ = 48.70°
Last column: nearest neighbours and their distance in Å.
Atoms (fractional coordinates):
Nd1 0.0000 0.0000 0.0000  4 Pd 2.87-3.21, 4 Zn 3.03-3.12
Al1 0.5266 0.5266 0.5266  3 Pd 2.59, 3 Zn 2.78
Zn1 0.7884 0.7884 0.7884  3 Al 2.78, 3 Pd 2.82, 1 Nd 3.03
Pd1 0.2004 0.2004 0.2004  3 Al 2.59, 3 Zn 2.82, 1 Nd 2.87


Model b:
Compound: NdAlZnPd
Source: Alexandria via LeMat-Bulk
Functional: PBE-GGA
Structure: relaxed

## Properties
* density of states at the Fermi level: 2.19 states/eV/cell
* space group: F-43m

a = 4.7998 Å, b = 4.7998 Å, c = 4.7998 Å
α = 60.00°, β = 60.00°, γ = 60.00°
Last column: nearest neighbours and their distance in Å.
Atoms (fractional coordinates):
Nd1 0.0000 0.0000 0.0000  4 Pd 2.94, 4 Zn 2.94
Al1 0.5000 0.5000 0.5000  4 Pd 2.94, 4 Zn 2.94
Zn1 0.2500 0.2500 0.2500  4 Nd 2.94, 4 Al 2.94
Pd1 0.7500 0.7500 0.7500  4 Nd 2.94, 4 Al 2.94


Taking the most stable structure as the zero point, the relative energies in kJ/mol of atoms are model a 0.0; model b 5.4.


Model a:
Compound: Pm2NdAl
Source: Alexandria via LeMat-Bulk
Functional: PBE-GGA
Structure: relaxed

## Properties
* density of states at the Fermi level: 6.81 states/eV/cell
* space group: P4/mmm

a = 4.8805 Å, b = 4.8805 Å, c = 4.8681 Å
α = 90.00°, β = 90.00°, γ = 90.00°
Last column: nearest neighbours and their distance in Å.
Atoms (fractional coordinates):
Pm1 0.0000 0.5000 0.0000  4 Nd 3.45, 4 Al 3.45, 4 Pm 3.45
Pm2 0.5000 0.0000 0.0000  4 Nd 3.45, 4 Al 3.45, 4 Pm 3.45
Nd1 0.0000 0.0000 0.5000  8 Pm 3.45, 4 Al 3.45
Al1 0.5000 0.5000 0.5000  8 Pm 3.45, 4 Nd 3.45


Model b:
Compound: Pm2NdAl
Source: Alexandria via LeMat-Bulk
Functional: PBE-GGA
Structure: relaxed

## Properties
* density of states at the Fermi level: 3.31 states/eV/cell
* space group: P4/mmm

a = 3.5897 Å, b = 3.5897 Å, c = 9.3547 Å
α = 90.00°, β = 90.00°, γ = 90.00°
Last column: nearest neighbours and their distance in Å.
Atoms (fractional coordinates):
Pm1 0.0000 0.0000 0.2113  4 Al 3.22, 4 Pm 3.59
Pm2 0.0000 0.0000 0.7887  4 Al 3.22, 4 Pm 3.59
Nd1 0.5000 0.5000 0.5000  4 Nd 3.59, 8 Pm 3.71
Al1 0.5000 0.5000 0.0000  8 Pm 3.22, 4 Al 3.59


Taking the most stable structure as the zero point, the relative energies in kJ/mol of atoms are model a 0.0; model b 0.5.


Model a:
Compound: Pm2NdAl
Source: Alexandria via LeMat-Bulk
Functional: PBE-GGA
Structure: relaxed

## Properties
* density of states at the Fermi level: 8.99 states/eV/cell
* space group: Pmmn

a = 5.4866 Å, b = 6.8529 Å, c = 6.2095 Å
α = 90.00°, β = 90.00°, γ = 90.00°
Last column: nearest neighbours and their distance in Å.
Atoms (fractional coordinates):
Pm1 0.2500 0.0066 0.1600  3 Nd 3.31-3.53, 4 Pm 3.34-3.52, 4 Al 3.37-3.64
Pm2 0.2500 0.4934 0.1600  3 Nd 3.31-3.53, 4 Pm 3.34-3.52, 4 Al 3.37-3.64
Pm3 0.7500 0.5066 0.8400  3 Nd 3.31-3.53, 4 Pm 3.34-3.52, 4 Al 3.37-3.64
Pm4 0.7500 0.9934 0.8400  3 Nd 3.31-3.53, 4 Pm 3.34-3.52, 4 Al 3.37-3.64
Nd1 0.2500 0.2500 0.6207  4 Al 3.30-3.44, 6 Pm 3.31-3.53
Nd2 0.7500 0.7500 0.3793  4 Al 3.30-3.44, 6 Pm 3.31-3.53
Al1 0.2500 0.7500 0.6735  4 Nd 3.30-3.44, 8 Pm 3.37-3.64
Al2 0.7500 0.2500 0.3265  4 Nd 3.30-3.44, 8 Pm 3.37-3.64


Model b:
Compound: Pm2NdAl
Source: Alexandria via LeMat-Bulk
Functional: PBE-GGA
Structure: relaxed

## Properties
* density of states at the Fermi level: 7.29 states/eV/cell
* space group: Fm-3m

a = 5.4938 Å, b = 5.4938 Å, c = 5.4938 Å
α = 60.00°, β = 60.00°, γ = 60.00°
Last column: nearest neighbours and their distance in Å.
Atoms (fractional coordinates):
Pm1 0.2500 0.2500 0.2500  4 Nd 3.36, 4 Al 3.36
Pm2 0.7500 0.7500 0.7500  4 Nd 3.36, 4 Al 3.36
Nd1 0.0000 0.0000 0.0000  8 Pm 3.36
Al1 0.5000 0.5000 0.5000  8 Pm 3.36


Taking the most stable structure as the zero point, the relative energies in kJ/mol of atoms are model a 0.0; model b 13.1.